# 1
Material: AcGa3Au
Method: DFT, PBE-GGA
State: relaxed

Geometry as POSCAR:
```
AcGa3Au
1.0
-0.018 -1.444 4.296
-0.915 -4.207 -1.415
4.811 -3.864 1.114
Ga Au Ac
3 1 1
direct
0.788 0.591 0.130
0.150 0.453 0.405
0.650 0.954 0.405
0.026 0.829 0.653
0.394 0.198 0.918
```

volume = 22.133 Å³ per atom
symmetry = Cm, No. 8
theoretical density = 9.5 g/cm³
ΔE_f = -308 kJ/mol of formula units
polymorph energy (0 for the lowest one) = 0.000 eV/atom
electronic total energy = -3.931 eV/atom

# 2
Material: Rh2PbW
Method: DFT, PBE-GGA
State: relaxed

Geometry as POSCAR:
```
Rh2PbW
1.0
-1.642 -2.016 1.385
-1.289 -0.705 -2.554
5.620 -5.487 -1.322
W Rh Pb
1 2 1
direct
0.500 0.500 0.000
0.000 0.000 0.219
0.000 0.000 0.781
0.500 0.500 0.500
```

volume = 17.283 Å³ per atom
symmetry = P4/mmm, No. 123
theoretical density = 14.3 g/cm³
ΔE_f = 28 kJ/mol of formula units
electronic total energy = -7.768 eV/atom

# 3
Material: Sr3CeAu4
Method: DFT, PBE-GGA
State: relaxed

Geometry as POSCAR:
```
Sr3CeAu4
1.0
-1.545 -0.265 -6.390
-4.558 -3.211 3.493
0.228 6.282 1.942
Au Ce Sr
4 1 3
direct
0.500 0.000 0.000
0.000 0.500 0.000
0.500 0.500 0.500
0.000 0.000 0.500
0.000 0.000 0.000
0.000 0.500 0.500
0.500 0.500 0.000
0.500 0.000 0.500
```

volume = 27.404 Å³ per atom
symmetry = Im-3m, No. 229
theoretical density = 9.0 g/cm³
ΔE_f = -521 kJ/mol of formula units
electronic total energy = -3.687 eV/atom